Entry 1:
A plane-wave DFT calculation with GGA-PBE was carried out for a relaxed structure of K9Fe2Se7.

The raw total energy is -273.86 eV for the cell shown. Its energy relative to the elements, uncorrected is -0.959 eV per atom.

The structure belongs to space group P2_13 (No. 198); the cell edges are 13.242, 13.242 and 13.242 Å and the angles 90.00°, 90.00° and 90.00°. Symmetry generates all atoms from K at (0.002, 0.303, 0.832), K at (0.042, 0.794, 0.180), K at (0.057, 0.057, 0.057), K at (0.083, 0.583, 0.917), K at (0.240, 0.240, 0.240), Fe at (0.070, 0.930, 0.430), Fe at (0.100, 0.400, 0.600), Se at (0.061, 0.310, 0.075), Se at (0.070, 0.833, 0.914) and Se at (0.209, 0.291, 0.709).

Entry 2:
A plane-wave DFT calculation with GGA-PBE was carried out for a relaxed structure of CsLi2Te2.

The raw total energy is -29.80 eV for the cell shown. Its energy relative to the elements, uncorrected is -0.787 eV per atom. Its energy above the most stable polymorph in this dataset is 144.8 meV/atom.

The structure belongs to space group P4/mbm (No. 127); the cell edges are 9.107, 9.107 and 3.524 Å and the angles 90.00°, 90.00° and 90.00°. Symmetry generates all atoms from Cs at (0.000, 0.000, 0.000), Li at (0.113, 0.387, 0.000) and Te at (0.160, 0.660, 0.500).

Entry 3:
A plane-wave DFT calculation with GGA-PBE was carried out for a relaxed structure of SrMgH4.

The raw total energy is -75.12 eV for the cell shown.

The structure belongs to space group C2/c (No. 15); the cell edges are 6.995, 9.207 and 6.177 Å and the angles 90.00°, 119.33° and 90.00°. Symmetry generates all atoms from Sr at (0.000, 0.134, 0.250), Mg at (0.000, 0.469, 0.750), H at (0.054, 0.360, 0.497) and H at (0.196, 0.043, 0.059).

Entry 4:
A plane-wave DFT calculation with GGA-PBE was carried out for a relaxed structure of ThNp3S6.

The raw total energy is -172.93 eV for the cell shown. Its energy relative to the elements, uncorrected is -1.546 eV per atom.

The structure belongs to space group P2_1/m (No. 11); the cell edges are 10.928, 3.971 and 11.335 Å and the angles 90.00°, 108.13° and 90.00°. Symmetry generates all atoms from Th at (0.049, 0.250, 0.195), Np at (0.161, 0.250, 0.582), Np at (0.324, 0.750, 0.001), Np at (0.434, 0.250, 0.334), S at (0.084, 0.750, 0.402), S at (0.116, 0.250, 0.963), S at (0.191, 0.750, 0.750), S at (0.258, 0.750, 0.225), S at (0.399, 0.250, 0.561) and S at (0.487, 0.250, 0.118).

Entry 5:
A plane-wave DFT calculation with GGA-PBE was carried out for a relaxed structure of Tb15Ho2Er2.

The raw total energy is -246.75 eV for the cell shown.

The structure belongs to space group R-3m (No. 166, hexagonal axes); the cell edges are 11.0688, 11.0688 and 17.6875 Å and the angles 90.00°, 90.00° and 120.00°. Symmetry generates all atoms from Tb at (0.0000, 0.2978, 0.0000), Tb at (0.0000, 0.5000, 0.5000), Tb at (0.0169, 0.5085, 0.1339), Ho at (0.0000, 0.0000, 0.3195) and Er at (0.0000, 0.0000, 0.0946).

Entry 6:
A plane-wave DFT calculation with GGA-PBE was carried out for a relaxed structure of HfTi3V.

The raw total energy is -35.69 eV for the cell shown. Its energy above the most stable polymorph in this dataset is 1219.6 meV/atom.

The structure belongs to space group Pm-3m (No. 221); the cell edges are 4.807, 4.807 and 4.807 Å and the angles 90.00°, 90.00° and 90.00°. Symmetry generates all atoms from Hf at (0.000, 0.000, 0.000), Ti at (0.000, 0.000, 0.500) and V at (0.500, 0.500, 0.500).

Entry 7:
A plane-wave DFT calculation with GGA-PBE was carried out for a relaxed structure of SrTiAs2Br.

The raw total energy is -24.73 eV for the cell shown. Its energy relative to the elements, uncorrected is -0.837 eV per atom. Its energy above the most stable polymorph in this dataset is 0.0 meV/atom.

The structure belongs to space group P4/mmm (No. 123); the cell edges are 4.914, 4.914 and 5.390 Å and the angles 90.00°, 90.00° and 90.00°. Symmetry generates all atoms from Sr at (0.000, 0.000, 0.000), Ti at (0.500, 0.500, 0.500), As at (0.000, 0.500, 0.500) and Br at (0.500, 0.500, 0.000).

Entry 8:
A plane-wave DFT calculation with GGA-PBE was carried out for a relaxed structure of CsMoPd3.

The raw total energy is -17.25 eV for the cell shown. Its energy above the most stable polymorph in this dataset is 1194.4 meV/atom.

The structure belongs to space group Pm-3m (No. 221); the cell edges are 5.221, 5.221 and 5.221 Å and the angles 90.00°, 90.00° and 90.00°. Symmetry generates all atoms from Cs at (0.000, 0.000, 0.000), Mo at (0.500, 0.500, 0.500) and Pd at (0.000, 0.000, 0.500).

Entry 9:
A plane-wave DFT calculation with GGA-PBE was carried out for a relaxed structure of KScIn2.

The raw total energy is -13.07 eV for the cell shown. Its energy above the most stable polymorph in this dataset is 155.0 meV/atom.

The structure belongs to space group P4/mmm (No. 123); the cell edges are 5.675, 5.675 and 3.388 Å and the angles 90.00°, 90.00° and 90.00°. Symmetry generates all atoms from K at (0.000, 0.000, 0.000), Sc at (0.500, 0.500, 0.000) and In at (0.000, 0.500, 0.500).

Entry 10:
A plane-wave DFT calculation with GGA-PBE was carried out for a relaxed structure of ZrNiAu.

The raw total energy is -69.45 eV for the cell shown. Its energy above the most stable polymorph in this dataset is 585.3 meV/atom.

The structure belongs to space group F-43m (No. 216); the cell edges are 6.282, 6.282 and 6.282 Å and the angles 90.00°, 90.00° and 90.00°. Symmetry generates all atoms from Zr at (0.000, 0.000, 0.000), Ni at (0.250, 0.250, 0.750) and Au at (0.250, 0.250, 0.250).

Entry 11:
A plane-wave DFT calculation with GGA-PBE was carried out for a relaxed structure of GeAsSeN2.

The raw total energy is -23.22 eV for the cell shown. Its energy relative to the elements, uncorrected is 1.237 eV per atom. Its energy above the most stable polymorph in this dataset is 48.4 meV/atom.

The structure belongs to space group P4/mmm (No. 123); the cell edges are 3.822, 3.822 and 5.249 Å and the angles 90.00°, 90.00° and 90.00°. Symmetry generates all atoms from Ge at (0.000, 0.000, 0.000), As at (0.500, 0.500, 0.500), Se at (0.000, 0.000, 0.500) and N at (0.000, 0.500, 0.000).

Entry 12:
A plane-wave DFT calculation with GGA-PBE was carried out for a relaxed structure of Rb2HfGeBr6.

The raw total energy is -74.99 eV for the cell shown. Its energy relative to the elements, uncorrected is -1.095 eV per atom.

The structure belongs to space group I4/mmm (No. 139); the cell edges are 7.691, 7.691 and 12.838 Å and the angles 90.00°, 90.00° and 90.00°. Symmetry generates all atoms from Rb at (0.000, 0.500, 0.250), Hf at (0.000, 0.000, 0.000), Ge at (0.000, 0.000, 0.500), Br at (0.000, 0.000, 0.209) and Br at (0.242, 0.242, 0.000).